Entry 1:
The following is a PBE calculation of a geometry-optimized Sc2InHgB structure, from Alexandria via LeMat-Bulk.

Output
DFT total energy, eV per atom: -3.860
Magnetic moment, μB/f.u.: 0.00

```
data_Sc2InHgB
_chemical_formula_sum 'Sc2 In1 Hg1 B1'
_symmetry_space_group_name_H-M 'P 1'
_symmetry_Int_Tables_number 1
_symmetry_space_group_name_Hall 'P 1'
_cell_length_a 5.465
_cell_length_b 4.057
_cell_length_c 5.465
_cell_angle_alpha 90.00
_cell_angle_beta 90.00
_cell_angle_gamma 90.00
loop_
_atom_site_label
_atom_site_fract_x
_atom_site_fract_y
_atom_site_fract_z
Hg1 0.000 0.000 0.000
Sc1 0.500 0.000 0.000
Sc2 0.000 0.000 0.500
In1 0.500 0.500 0.500
B1 0.000 0.500 0.000
```

---

Entry 2:
The following is a PBE calculation of a geometry-optimized InHgB2Se structure, from Alexandria via LeMat-Bulk.

Output
DFT total energy, eV per atom: -2.576
Magnetic moment, μB/f.u.: 0.00
ΔE_f (raw), eV/atom: 1.400

```
data_InHgB2Se
_chemical_formula_sum 'In1 Hg1 B2 Se1'
_symmetry_space_group_name_H-M 'P 1'
_symmetry_Int_Tables_number 1
_symmetry_space_group_name_Hall 'P 1'
_cell_length_a 4.282
_cell_length_b 6.245
_cell_length_c 4.282
_cell_angle_alpha 90.00
_cell_angle_beta 90.00
_cell_angle_gamma 90.00
loop_
_atom_site_label
_atom_site_fract_x
_atom_site_fract_y
_atom_site_fract_z
Se1 0.000 0.500 0.000
B1 0.500 0.000 0.000
B2 0.000 0.000 0.500
Hg1 0.000 0.000 0.000
In1 0.500 0.500 0.500
```